[1]
## Na3W2N5 (PBE)

Data for crystalline Na3W2N5 at its relaxed geometry.

```
Na3W2N5
1.0
9.685 -0.010 0.000
-5.751 7.792 0.000
-1.967 -3.891 8.648
Na N W
12 20 8
Direct
0.249 0.629 0.835 Na
0.774 0.274 0.500 Na
0.181 0.681 0.500 Na
0.594 0.827 0.378 Na
0.879 0.544 0.881 Na
0.077 0.199 0.733 Na
0.466 0.344 0.267 Na
0.524 0.524 0.000 Na
0.663 0.999 0.119 Na
0.931 0.931 0.000 Na
0.794 0.413 0.165 Na
0.449 0.216 0.622 Na
0.993 0.606 0.662 N
0.667 0.568 0.664 N
0.581 0.743 0.887 N
0.944 0.331 0.338 N
0.461 0.254 0.019 N
0.692 0.211 0.707 N
0.854 0.168 0.966 N
0.075 0.961 0.754 N
0.856 0.694 0.113 N
0.235 0.442 0.981 N
0.138 0.604 0.186 N
0.418 0.952 0.814 N
0.504 0.985 0.293 N
0.211 0.957 0.387 N
0.818 0.654 0.402 N
0.207 0.321 0.246 N
0.252 0.417 0.598 N
0.904 0.002 0.336 N
0.571 0.825 0.613 N
0.202 0.888 0.034 N
0.886 0.700 0.618 W
0.517 0.636 0.686 W
0.950 0.831 0.314 W
0.638 0.038 0.779 W
0.259 0.859 0.221 W
0.109 0.388 0.100 W
0.288 0.009 0.900 W
0.081 0.267 0.382 W
```

Calculated values
Space group = I4_1, No. 80
Formation energy without anion corrections = -4.6 eV/f.u.



[2]
## BaCaRh2 (PBE)

Data for crystalline BaCaRh2 at its relaxed geometry.

```
BaCaRh2
1.0
-2.674 0.350 4.311
-5.024 0.761 -0.179
-3.186 -3.735 1.326
Rh Ca Ba
2 1 1
Direct
0.750 0.750 0.750 Rh
0.250 0.250 0.250 Rh
0.000 0.000 0.000 Ca
0.500 0.500 0.500 Ba
```

Calculated values
Distance to the lowest polymorph of the same formula = 68 kJ/mol of formula units
Space group = Fm-3m, No. 225



[3]
## V2CuP (PBE)

Data for crystalline V2CuP at its relaxed geometry.

```
V2CuP
1.0
6.551 0.000 0.000
0.000 6.551 0.000
3.276 3.276 2.521
Cu P V
2 2 4
Direct
0.750 0.250 0.500 Cu
0.000 0.000 0.000 Cu
0.500 0.500 0.000 P
0.250 0.750 0.500 P
0.375 0.394 0.750 V
0.875 0.856 0.750 V
0.606 0.125 0.250 V
0.144 0.625 0.250 V
```

Calculated values
Space group = I-42d, No. 122



[4]
## Sc8ReRh2 (PBE)

Data for crystalline Sc8ReRh2 at its relaxed geometry.

```
Sc8ReRh2
1.0
-0.910 2.154 -4.035
6.302 0.401 -1.207
-2.311 -7.894 -0.998
Sc Rh Re
8 2 1
Direct
0.403 0.551 0.805 Sc
0.029 0.792 0.057 Sc
0.971 0.208 0.943 Sc
0.666 0.958 0.331 Sc
0.597 0.449 0.195 Sc
0.805 0.704 0.611 Sc
0.334 0.042 0.669 Sc
0.195 0.296 0.389 Sc
0.186 0.692 0.371 Rh
0.814 0.308 0.629 Rh
0.500 0.000 0.000 Re
```

Calculated values
Space group = C2/m, No. 12



[5]
## SrAlCu2Rh (PBE)

Data for crystalline SrAlCu2Rh at its relaxed geometry.

```
SrAlCu2Rh
1.0
4.660 0.000 0.000
0.000 4.692 0.000
0.000 0.000 4.660
Cu Rh Sr Al
2 1 1 1
Direct
0.500 0.000 0.000 Cu
0.000 0.000 0.500 Cu
0.000 0.500 0.000 Rh
0.500 0.500 0.500 Sr
0.000 0.000 0.000 Al
```

Calculated values
Space group = P4/mmm, No. 123



[6]
## BeNbAg (PBE)

Data for crystalline BeNbAg at its relaxed geometry.

```
BeNbAg
1.0
3.245 0.000 0.000
0.000 4.204 0.000
1.622 0.000 6.591
Nb Be Ag
2 2 2
Direct
0.098 0.212 0.611 Nb
0.612 0.712 0.585 Nb
0.271 0.710 0.264 Be
0.439 0.211 0.933 Be
0.783 0.211 0.241 Ag
0.928 0.711 0.955 Ag
```

Calculated values
Distance to the lowest polymorph of the same formula = 67 kJ/mol of formula units
Space group = P2_1/m, No. 11



[7]
## Tm12In6Rh (PBE)

Data for crystalline Tm12In6Rh at its relaxed geometry.

```
Tm12In6Rh
1.0
8.159 0.342 0.410
-0.899 8.116 0.410
-0.899 -1.047 8.059
In Tm Rh
6 12 1
Direct
0.868 0.268 0.656 In
0.268 0.656 0.868 In
0.656 0.868 0.268 In
0.732 0.344 0.132 In
0.132 0.732 0.344 In
0.344 0.132 0.732 In
0.900 0.682 0.022 Tm
0.569 0.454 0.794 Tm
0.206 0.431 0.546 Tm
0.454 0.794 0.569 Tm
0.431 0.546 0.206 Tm
0.546 0.206 0.431 Tm
0.794 0.569 0.454 Tm
0.100 0.318 0.978 Tm
0.318 0.978 0.100 Tm
0.022 0.900 0.682 Tm
0.978 0.100 0.318 Tm
0.682 0.022 0.900 Tm
0.000 0.000 0.000 Rh
```

Calculated values
Space group = R-3, No. 148



[8]
## Dy12Pd3O5 (PBE)

Data for crystalline Dy12Pd3O5 at its relaxed geometry.

```
Dy12Pd3O5
1.0
-0.766 -13.131 0.901
11.222 4.139 5.546
-10.257 5.439 6.248
Dy O Pd
48 20 12
Direct
0.314 0.519 0.404 Dy
0.614 0.019 0.205 Dy
0.596 0.981 0.686 Dy
0.295 0.410 0.814 Dy
0.904 0.814 0.519 Dy
0.186 0.096 0.981 Dy
0.519 0.205 0.114 Dy
0.481 0.795 0.886 Dy
0.481 0.686 0.096 Dy
0.019 0.614 0.705 Dy
0.910 0.814 0.795 Dy
0.814 0.904 0.019 Dy
0.205 0.519 0.614 Dy
0.886 0.590 0.904 Dy
0.795 0.314 0.910 Dy
0.686 0.205 0.590 Dy
0.404 0.386 0.590 Dy
0.705 0.114 0.019 Dy
0.596 0.614 0.410 Dy
0.886 0.295 0.481 Dy
0.295 0.886 0.981 Dy
0.795 0.481 0.386 Dy
0.904 0.090 0.886 Dy
0.090 0.904 0.386 Dy
0.614 0.596 0.910 Dy
0.090 0.186 0.205 Dy
0.096 0.910 0.114 Dy
0.590 0.886 0.404 Dy
0.114 0.705 0.519 Dy
0.386 0.404 0.090 Dy
0.096 0.186 0.481 Dy
0.386 0.981 0.795 Dy
0.114 0.410 0.096 Dy
0.519 0.314 0.904 Dy
0.404 0.019 0.314 Dy
0.981 0.596 0.186 Dy
0.410 0.295 0.314 Dy
0.981 0.386 0.295 Dy
0.314 0.795 0.410 Dy
0.686 0.481 0.596 Dy
0.910 0.096 0.614 Dy
0.814 0.910 0.295 Dy
0.705 0.590 0.186 Dy
0.019 0.404 0.814 Dy
0.410 0.114 0.596 Dy
0.590 0.705 0.686 Dy
0.186 0.090 0.705 Dy
0.205 0.686 0.090 Dy
0.750 0.625 0.375 O
0.500 0.000 0.500 O
0.875 0.250 0.625 O
0.500 0.000 0.000 O
0.625 0.875 0.250 O
0.125 0.750 0.375 O
0.375 0.250 0.125 O
0.250 0.375 0.625 O
0.500 0.500 0.500 O
0.625 0.750 0.875 O
0.000 0.000 0.500 O
0.875 0.625 0.750 O
0.500 0.500 0.000 O
0.125 0.375 0.250 O
0.000 0.500 0.500 O
0.750 0.125 0.875 O
0.000 0.000 0.000 O
0.000 0.500 0.000 O
0.375 0.125 0.750 O
0.250 0.875 0.125 O
0.875 0.125 0.250 Pd
0.375 0.750 0.625 Pd
0.250 0.125 0.375 Pd
0.125 0.875 0.750 Pd
0.750 0.375 0.125 Pd
0.875 0.750 0.125 Pd
0.250 0.625 0.875 Pd
0.125 0.250 0.875 Pd
0.625 0.250 0.375 Pd
0.625 0.375 0.750 Pd
0.375 0.625 0.250 Pd
0.750 0.875 0.625 Pd
```

Calculated values
Space group = Ia-3d, No. 230
Formation energy without anion corrections = -32.8 eV/f.u.



[9]
## Ca4U2O9 (PBE)

Data for crystalline Ca4U2O9 at its relaxed geometry.

```
Ca4U2O9
1.0
-3.682 -4.550 -0.174
-0.972 -2.789 -5.056
11.706 -9.593 3.037
O U Ca
18 4 8
Direct
0.000 0.730 0.750 O
0.305 0.656 0.913 O
0.038 0.306 0.913 O
0.695 0.344 0.087 O
0.656 0.038 0.913 O
0.962 0.694 0.087 O
0.270 0.730 0.250 O
0.962 0.344 0.587 O
0.344 0.695 0.587 O
0.306 0.038 0.413 O
0.656 0.305 0.413 O
0.270 0.000 0.750 O
0.000 0.270 0.250 O
0.730 0.000 0.250 O
0.344 0.962 0.087 O
0.038 0.656 0.413 O
0.730 0.270 0.750 O
0.694 0.962 0.587 O
0.000 0.000 0.356 U
0.000 0.000 0.144 U
0.000 0.000 0.644 U
0.000 0.000 0.856 U
0.667 0.667 0.979 Ca
0.667 0.667 0.191 Ca
0.333 0.333 0.309 Ca
0.667 0.667 0.691 Ca
0.333 0.333 0.809 Ca
0.333 0.333 0.021 Ca
0.667 0.667 0.479 Ca
0.333 0.333 0.521 Ca
```

Calculated values
Space group = P-3c1, No. 165
Formation energy without anion corrections = -47.4 eV/f.u.



[10]
## Zr2ZnCu (PBE)

Data for crystalline Zr2ZnCu at its relaxed geometry.

```
Zr2ZnCu
1.0
4.672 0.000 0.000
0.000 3.326 -0.046
0.000 0.065 4.670
Zr Zn Cu
2 1 1
Direct
0.000 0.125 0.875 Zr
0.500 0.125 0.375 Zr
0.500 0.625 0.875 Zn
0.000 0.625 0.375 Cu
```

Calculated values
Space group = P4/mmm, No. 123



[11]
## AlSn2W (PBE)

Data for crystalline AlSn2W at its relaxed geometry.

```
AlSn2W
1.0
6.310 0.000 0.000
0.000 6.310 0.000
3.155 3.155 6.198
Al W Sn
2 2 4
Direct
0.500 0.500 0.000 Al
0.250 0.750 0.500 Al
0.000 0.000 0.000 W
0.750 0.250 0.500 W
0.636 0.125 0.250 Sn
0.375 0.364 0.750 Sn
0.875 0.886 0.750 Sn
0.114 0.625 0.250 Sn
```

Calculated values
Space group = I-42d, No. 122



[12]
## CeTmCdBi (PBE)

Data for crystalline CeTmCdBi at its relaxed geometry.

```
CeTmCdBi
1.0
-3.835 -1.075 3.667
-4.245 -3.079 -1.346
-0.475 -4.994 2.036
Bi Ce Tm Cd
1 1 1 1
Direct
0.250 0.250 0.250 Bi
0.500 0.500 0.500 Ce
0.000 0.000 0.000 Tm
0.750 0.750 0.750 Cd
```

Calculated values
Space group = F-43m, No. 216



Calculated total energy in order - -304.20 -18.70 -55.59 -82.40 -20.73 -32.00 -81.84 -513.46 -245.24 -23.18 -40.17 -16.62 eV per cell